A geometry-optimized LiTaCuPb structure. Source: OQMD via LeMat-Bulk, functional PBE.

Cell: 4.657 4.657 4.657 Å, 60.00 60.00 60.00°
Fractional positions:
Li: 0.000 0.000 0.000
Ta: 0.250 0.250 0.250
Cu: 0.750 0.750 0.750
Pb: 0.500 0.500 0.500

Output
E above lowest polymorph: 101 meV/atom

A geometry-optimized LiTaCuPb structure. Source: OQMD via LeMat-Bulk, functional PBE.

Cell: 4.577 4.577 4.577 Å, 60.00 60.00 60.00°
Fractional positions:
Li: 0.000 0.000 0.000
Ta: 0.750 0.750 0.750
Cu: 0.500 0.500 0.500
Pb: 0.250 0.250 0.250

Output
E above lowest polymorph: 0 meV/atom

A geometry-optimized LiCuPbW structure. Source: OQMD via LeMat-Bulk, functional PBE.

Cell: 4.527 4.527 4.527 Å, 60.00 60.00 60.00°
Fractional positions:
Li: 0.000 0.000 0.000
Cu: 0.500 0.500 0.500
Pb: 0.250 0.250 0.250
W: 0.750 0.750 0.750

Output
E above lowest polymorph: 0 meV/atom

A geometry-optimized LiCuPbW structure. Source: OQMD via LeMat-Bulk, functional PBE.

Cell: 4.641 4.641 4.641 Å, 60.00 60.00 60.00°
Fractional positions:
Li: 0.000 0.000 0.000
Cu: 0.750 0.750 0.750
Pb: 0.500 0.500 0.500
W: 0.250 0.250 0.250

Output
E above lowest polymorph: 72 meV/atom

A geometry-optimized LiZnCuPb structure. Source: OQMD via LeMat-Bulk, functional PBE.

Cell: 4.560 4.560 4.560 Å, 60.00 60.00 60.00°
Fractional positions:
Li: 0.000 0.000 0.000
Zn: 0.750 0.750 0.750
Cu: 0.500 0.500 0.500
Pb: 0.250 0.250 0.250

Output
E above lowest polymorph: 0 meV/atom

A geometry-optimized LiZnCuPb structure. Source: OQMD via LeMat-Bulk, functional PBE.

Cell: 4.592 4.592 4.592 Å, 60.00 60.00 60.00°
Fractional positions:
Li: 0.000 0.000 0.000
Zn: 0.500 0.500 0.500
Cu: 0.750 0.750 0.750
Pb: 0.250 0.250 0.250

Output
E above lowest polymorph: 60 meV/atom

A geometry-optimized Li4ZnCuPb2 structure. Source: OQMD via LeMat-Bulk, functional PBE.

Cell: 4.589 4.589 6.478 Å, 90.00 90.00 90.00°
Fractional positions:
Li: 0.000 0.000 0.000
Li: 0.000 0.500 0.244
Li: 0.500 0.000 0.756
Li: 0.500 0.500 0.500
Zn: 0.000 0.000 0.500
Cu: 0.500 0.500 0.000
Pb: 0.000 0.500 0.759
Pb: 0.500 0.000 0.241

Output
Uncorrected energy: -2.727 eV/atom

A geometry-optimized LiCu2Pd structure. Source: OQMD via LeMat-Bulk, functional PBE.

Cell: 4.135 4.135 4.135 Å, 60.00 60.00 60.00°
Fractional positions:
Li: 0.000 0.000 0.000
Cu: 0.500 0.500 0.500
Cu: 0.750 0.750 0.750
Pd: 0.250 0.250 0.250

Output
Uncorrected energy: -3.812 eV/atom

A geometry-optimized LiCuPd2 structure. Source: OQMD via LeMat-Bulk, functional PBE.

Cell: 4.238 4.238 4.238 Å, 119.92 119.92 90.15°
Fractional positions:
Li: 0.000 0.000 0.000
Cu: 0.500 0.500 0.000
Pd: 0.250 0.750 0.500
Pd: 0.750 0.250 0.500

Output
E above lowest polymorph: 16 meV/atom

A geometry-optimized LiCuPd2 structure. Source: OQMD via LeMat-Bulk, functional PBE.

Cell: 4.241 4.241 2.993 Å, 90.00 90.00 90.00°
Fractional positions:
Li: 0.000 0.000 0.000
Cu: 0.500 0.500 0.000
Pd: 0.000 0.500 0.500
Pd: 0.500 0.000 0.500

Output
E above lowest polymorph: 0 meV/atom

A geometry-optimized LiCuPd2 structure. Source: OQMD via LeMat-Bulk, functional PBE.

Cell: 4.296 4.296 4.296 Å, 60.00 60.00 60.00°
Fractional positions:
Li: 0.000 0.000 0.000
Cu: 0.750 0.750 0.750
Pd: 0.250 0.250 0.250
Pd: 0.500 0.500 0.500

Output
E above lowest polymorph: 122 meV/atom

A geometry-optimized LiCuPd2 structure. Source: OQMD via LeMat-Bulk, functional PBE.

Cell: 4.183 4.183 7.778 Å, 90.00 90.00 120.00°
Fractional positions:
Li: 0.000 0.000 0.250
Li: 0.000 0.000 0.750
Cu: 0.333 0.667 0.250
Cu: 0.667 0.333 0.750
Pd: 0.333 0.667 0.580
Pd: 0.333 0.667 0.920
Pd: 0.667 0.333 0.080
Pd: 0.667 0.333 0.420

Output
E above lowest polymorph: 179 meV/atom